A relaxed VGeF crystal. Source: Alexandria via LeMat-Bulk, functional GGA+U.

Cell and atoms, written as POSCAR:
```
VGeF
1.0
-1.550 -1.393 1.896
-0.600 -0.314 -2.814
9.153 -11.141 -0.706
Ge F V
2 2 2
direct
0.150 0.300 0.847
0.150 0.300 0.153
0.741 0.482 0.411
0.741 0.482 0.589
0.475 0.950 0.000
0.409 0.819 0.500
```

Density ... 4.6 g/cm3
Final energy ... -5.220 eV per atom
Spin magnetization ... 1.2 Bohr magnetons per cell
Space-group type ... Amm2, No. 38